Record 1
Entry from the Alexandria database: a relaxed structure of IrPt8Rh6 (PBE).

Properties
The energy of formation from the pure elements comes out at 0.1493 eV/atom. The calculated total energy is -99.06 eV per formula unit. The calculation puts the energy above the most stable polymorph in this dataset at 0.00 kJ per mole of atoms.

Lattice parameters (Å, degrees): 6.8551 6.8551 6.8551 60.71 60.71 60.71
With the nearest neighbours (Å) after each atom.
Fractional positions:
Pt: 0.5813 0.5813 0.5813  6 Rh 2.68-2.87, 4 Pt 2.68-2.72
Pt: 0.8166 0.1159 0.6646  6 Pt 2.68-2.83, 3 Rh 2.70-2.83, 1 Ir 2.75
Ir: 0.0000 0.0000 0.0000  6 Rh 2.68, 6 Pt 2.75
Pt: 0.3354 0.1834 0.8841  6 Pt 2.68-2.83, 3 Rh 2.70-2.83, 1 Ir 2.75
Pt: 0.1159 0.6646 0.8166  6 Pt 2.68-2.83, 3 Rh 2.70-2.83, 1 Ir 2.75
Rh: 0.2747 0.0613 0.5463  1 Rh 2.59, 1 Ir 2.68, 5 Pt 2.68-2.87
Pt: 0.8841 0.3354 0.1834  6 Pt 2.68-2.83, 3 Rh 2.70-2.83, 1 Ir 2.75
Rh: 0.5463 0.2747 0.0613  1 Rh 2.59, 1 Ir 2.68, 5 Pt 2.68-2.87
Pt: 0.4187 0.4187 0.4187  6 Rh 2.68-2.87, 4 Pt 2.68-2.72
Rh: 0.9387 0.4537 0.7253  1 Rh 2.59, 1 Ir 2.68, 5 Pt 2.68-2.87
Pt: 0.1834 0.8841 0.3354  6 Pt 2.68-2.83, 3 Rh 2.70-2.83, 1 Ir 2.75
Rh: 0.4537 0.7253 0.9387  1 Rh 2.59, 1 Ir 2.68, 5 Pt 2.68-2.87
Rh: 0.7253 0.9387 0.4537  1 Rh 2.59, 1 Ir 2.68, 5 Pt 2.68-2.87
Pt: 0.6646 0.8166 0.1159  6 Pt 2.68-2.83, 3 Rh 2.70-2.83, 1 Ir 2.75
Rh: 0.0613 0.5463 0.2747  1 Rh 2.59, 1 Ir 2.68, 5 Pt 2.68-2.87

Record 2
Entry from the Alexandria database: a relaxed structure of Pu7SeCl12 (PBE).

Properties
The calculated total energy is -160.69 eV per formula unit.

Lattice parameters (Å, degrees): 9.0747 9.0747 9.0747 107.44 107.44 107.44
With the nearest neighbours (Å) after each atom.
Fractional positions:
Pu: 0.6519 0.8798 0.9675  5 Cl 2.82-2.84, 1 Se 2.90
Pu: 0.9675 0.6519 0.8798  5 Cl 2.82-2.84, 1 Se 2.90
Pu: 0.5000 0.5000 0.5000  6 Cl 2.81
Cl: 0.6892 0.2194 0.0752  3 Pu 2.82-2.83
Cl: 0.8407 0.6251 0.5429  3 Pu 2.81-2.84
Cl: 0.5429 0.8407 0.6251  3 Pu 2.81-2.84
Cl: 0.9248 0.3108 0.7806  3 Pu 2.82-2.83
Cl: 0.3749 0.4571 0.1593  3 Pu 2.81-2.84
Pu: 0.3481 0.1202 0.0325  5 Cl 2.82-2.84, 1 Se 2.90
Pu: 0.8798 0.9675 0.6519  5 Cl 2.82-2.84, 1 Se 2.90
Pu: 0.1202 0.0325 0.3481  5 Cl 2.82-2.84, 1 Se 2.90
Cl: 0.4571 0.1593 0.3749  3 Pu 2.81-2.84
Pu: 0.0325 0.3481 0.1202  5 Cl 2.82-2.84, 1 Se 2.90
Cl: 0.2194 0.0752 0.6892  3 Pu 2.82-2.83
Cl: 0.3108 0.7806 0.9248  3 Pu 2.82-2.83
Cl: 0.7806 0.9248 0.3108  3 Pu 2.82-2.83
Cl: 0.1593 0.3749 0.4571  3 Pu 2.81-2.84
Se: 0.0000 0.0000 0.0000  6 Pu 2.90
Cl: 0.0752 0.6892 0.2194  3 Pu 2.82-2.83
Cl: 0.6251 0.5429 0.8407  3 Pu 2.81-2.84

Record 3
Entry from the Alexandria database: a relaxed structure of PmNdDyY2 (PBE).

Properties
The energy of formation from the pure elements comes out at 0.3852 eV/atom. The calculated total energy is -25.12 eV per formula unit.

Lattice parameters (Å, degrees): 7.2042 8.4891 7.1788 126.25 90.00 90.00
With the nearest neighbours (Å) after each atom.
Fractional positions:
Nd: 0.7500 0.2704 0.5407  1 Pm 3.10
Dy: 0.2500 0.2748 0.5495  1 Pm 3.22, 4 Y 3.55, 2 Nd 3.60
Dy: 0.7500 0.7252 0.4505  1 Pm 3.22, 4 Y 3.55, 2 Nd 3.60
Pm: 0.2500 0.9970 0.9939  1 Nd 3.10, 4 Y 3.21, 1 Dy 3.22
Y: 0.0000 0.3124 0.0000  1 Y 3.18, 2 Pm 3.21, 2 Dy 3.55
Pm: 0.7500 0.0030 0.0061  1 Nd 3.10, 4 Y 3.21, 1 Dy 3.22
Y: 0.0000 0.6876 0.0000  1 Y 3.18, 2 Pm 3.21, 2 Dy 3.55
Y: 0.5000 0.6876 0.0000  1 Y 3.18, 2 Pm 3.21, 2 Dy 3.55
Nd: 0.2500 0.7296 0.4593  1 Pm 3.10
Y: 0.5000 0.3124 0.0000  1 Y 3.18, 2 Pm 3.21, 2 Dy 3.55

Record 4
Entry from the Alexandria database: a relaxed structure of Ce5InSi2 (PBE).

Properties
The calculated total energy is -45.95 eV per formula unit. The calculation puts the energy above the most stable polymorph in this dataset at 8.19 kJ per mole of atoms.

Lattice parameters (Å, degrees): 5.1970 5.3888 16.9190 90.00 90.00 118.83
With the nearest neighbours (Å) after each atom.
Fractional positions:
Ce: 0.9094 0.8188 0.5998  3 Ce 3.04-3.27, 4 Si 3.10-3.22
In: 0.4375 0.8751 0.2500  5 Ce 3.07-3.08
Si: 0.2345 0.4690 0.9270  9 Ce 3.00-3.22
In: 0.5625 0.1249 0.7500  5 Ce 3.07-3.08
Si: 0.2345 0.4690 0.5730  9 Ce 3.00-3.22
Ce: 0.5678 0.1357 0.5687  1 Ce 2.65
Ce: 0.2372 0.4744 0.7500  2 Si 3.00, 3 In 3.07-3.08
Si: 0.7655 0.5310 0.0730  9 Ce 3.00-3.22
Ce: 0.4322 0.8643 0.4313  1 Ce 2.65
Ce: 0.9094 0.8188 0.9002  3 Ce 3.04-3.27, 4 Si 3.10-3.22
Si: 0.7655 0.5310 0.4270  9 Ce 3.00-3.22
Ce: 0.4322 0.8643 0.0687  1 Ce 2.65
Ce: 0.0906 0.1812 0.4002  3 Ce 3.04-3.27, 4 Si 3.10-3.22
Ce: 0.7628 0.5256 0.2500  2 Si 3.00, 3 In 3.07-3.08
Ce: 0.0906 0.1812 0.0998  3 Ce 3.04-3.27, 4 Si 3.10-3.22
Ce: 0.5678 0.1357 0.9313  1 Ce 2.65

Record 5
Entry from the Alexandria database: a relaxed structure of ZrTcSe (PBE).

Properties
The calculated total energy is -23.17 eV per formula unit. The calculation puts the energy above the most stable polymorph in this dataset at 27.85 kJ per mole of atoms.

Lattice parameters (Å, degrees): 5.8238 5.8238 3.1257 74.43 74.43 31.13
With the nearest neighbours (Å) after each atom.
Fractional positions:
Tc: 0.3571 0.3571 0.6429  4 Se 2.56
Se: 0.9762 0.9762 0.0238  4 Tc 2.56
Zr: 0.6666 0.6666 0.3334  5 Se 3.02-3.34, 5 Tc 3.02-3.34, 4 Zr 3.13

Record 6
Entry from the Alexandria database: a relaxed structure of Sr2Li3Ag12Pd (PBE).

Properties
The energy of formation from the pure elements comes out at -0.0012 eV/atom. The calculated total energy is -48.53 eV per formula unit.

Lattice parameters (Å, degrees): 10.7981 10.7981 10.7981 36.44 36.44 36.44
With the nearest neighbours (Å) after each atom.
Fractional positions:
Li: 0.5000 0.0000 0.0000  4 Ag 2.53
Ag: 0.3639 0.9222 0.9222  1 Pd 2.71, 4 Ag 2.76-2.98, 1 Li 2.95
Sr: 0.6451 0.6451 0.6451  12 Ag 3.45-3.68
Li: 0.0000 0.5000 0.0000  4 Ag 2.53
Ag: 0.5922 0.5922 0.1841  2 Li 2.53, 4 Ag 2.76
Ag: 0.6361 0.0778 0.0778  1 Pd 2.71, 4 Ag 2.76-2.98, 1 Li 2.95
Ag: 0.9222 0.3639 0.9222  1 Pd 2.71, 4 Ag 2.76-2.98, 1 Li 2.95
Ag: 0.0778 0.6361 0.0778  1 Pd 2.71, 4 Ag 2.76-2.98, 1 Li 2.95
Ag: 0.4078 0.8159 0.4078  2 Li 2.53, 4 Ag 2.76
Ag: 0.5922 0.1841 0.5922  2 Li 2.53, 4 Ag 2.76
Ag: 0.4078 0.4078 0.8159  2 Li 2.53, 4 Ag 2.76
Ag: 0.8159 0.4078 0.4078  2 Li 2.53, 4 Ag 2.76
Pd: 0.0000 0.0000 0.0000  6 Ag 2.71
Li: 0.0000 0.0000 0.5000  4 Ag 2.53
Sr: 0.3549 0.3549 0.3549  12 Ag 3.45-3.68
Ag: 0.9222 0.9222 0.3639  1 Pd 2.71, 4 Ag 2.76-2.98, 1 Li 2.95
Ag: 0.0778 0.0778 0.6361  1 Pd 2.71, 4 Ag 2.76-2.98, 1 Li 2.95
Ag: 0.1841 0.5922 0.5922  2 Li 2.53, 4 Ag 2.76

Record 7
Entry from the Alexandria database: a relaxed structure of Rb2HgHPd (PBE).

Properties
The calculated total energy is -11.33 eV per formula unit. The calculation puts the energy above the most stable polymorph in this dataset at 0.00 kJ per mole of atoms.

Lattice parameters (Å, degrees): 6.3254 6.3254 3.5958 90.00 90.00 90.00
With the nearest neighbours (Å) after each atom.
Fractional positions:
H: 0.0000 0.0000 0.0000  2 Pd 1.80
Rb: 0.0000 0.5000 0.0000  2 H 3.16
Rb: 0.5000 0.0000 0.0000  2 H 3.16
Pd: 0.0000 0.0000 0.5000  2 H 1.80
Hg: 0.5000 0.5000 0.5000  2 Hg 3.60, 8 Rb 3.64

Record 8
Entry from the Alexandria database: a relaxed structure of SrOsW2 (PBE).

Properties
The energy of formation from the pure elements comes out at 1.3185 eV/atom. The calculated total energy is -33.54 eV per formula unit. The calculation puts the energy above the most stable polymorph in this dataset at 61.15 kJ per mole of atoms.

Lattice parameters (Å, degrees): 5.0080 5.0080 9.3947 74.54 74.54 90.00
With the nearest neighbours (Å) after each atom.
Fractional positions:
Os: 0.0000 0.0000 0.0000  4 W 2.51
W: 0.8750 0.6250 0.2500  2 W 2.50, 2 Os 2.51
W: 0.8750 0.1250 0.2500  2 W 2.50, 2 Os 2.51
Os: 0.7500 0.2500 0.5000  4 W 2.51
W: 0.8750 0.1250 0.7500  2 W 2.50, 2 Os 2.51
W: 0.3750 0.1250 0.7500  2 W 2.50, 2 Os 2.51
Sr: 0.5000 0.5000 0.0000  4 Os 3.54, 8 W 3.55
Sr: 0.2500 0.7500 0.5000  4 Os 3.54, 8 W 3.55

- Which of these has the lowest calculated total energy?
  Pu7SeCl12